# 1
Rb2CeS2Br2 | PBE | relaxed

Cell lengths 5.3391, 5.3391, 17.6287 Å; angles 90.00, 90.00, 90.00 degrees
Space group I4/mmm (No. 139)
Symmetry-distinct sites (fractional):
Rb 0.0000 0.0000 0.1331 (multiplicity 4)
Ce 0.0000 0.0000 0.5000 (multiplicity 2)
S 0.0000 0.5000 0.0000 (multiplicity 4)
Br 0.0000 0.0000 0.3340 (multiplicity 4)

The total energy comes out at -62.7 eV for the cell shown. The crystal system is tetragonal. For the uncorrected formation energy, the calculation gives -1.694 eV per atom.

# 2
NdDy2Mg3 | PBE | relaxed

Cell lengths 3.8143, 3.8143, 11.4883 Å; angles 90.00, 90.00, 90.00 degrees
Space group P4/mmm (No. 123)
Symmetry-distinct sites (fractional):
Nd 0.0000 0.0000 0.0000 (multiplicity 1)
Dy 0.0000 0.0000 0.3374 (multiplicity 2)
Mg 0.5000 0.5000 0.1746 (multiplicity 2)
Mg 0.5000 0.5000 0.5000 (multiplicity 1)

The total energy comes out at -19.3 eV for the cell shown. Its calculated formation energy is -0.09 eV per atom. The crystal system is tetragonal.

# 3
Hg2PdI8 | PBE | relaxed

Cell lengths 13.2069, 11.0709, 7.3246 Å; angles 90.00, 104.49, 90.00 degrees
Space group C2/m (No. 12)
Symmetry-distinct sites (fractional):
Hg 0.2088 0.0000 0.1900 (multiplicity 4)
Pd 0.0000 0.0000 0.5000 (multiplicity 2)
I 0.0769 0.1746 0.3121 (multiplicity 8)
I 0.0831 0.5000 0.7887 (multiplicity 4)
I 0.1890 0.0000 0.7727 (multiplicity 4)

The total energy comes out at -39.6 eV for the cell shown. The crystal system is monoclinic. For the uncorrected formation energy, the calculation gives -0.145 eV per atom.

# 4
Er8Cu2Ru | PBE | relaxed

Cell lengths 8.0762, 13.1868, 5.7381 Å; angles 90.00, 111.46, 90.00 degrees
Space group Cm (No. 8)
Symmetry-distinct sites (fractional):
Er 0.0000 0.0000 0.0000 (multiplicity 2)
Er 0.0771 0.3774 0.8076 (multiplicity 4)
Er 0.1496 0.1225 0.5887 (multiplicity 4)
Er 0.2231 0.5000 0.3759 (multiplicity 2)
Er 0.3630 0.2041 0.1903 (multiplicity 4)
Cu 0.3599 0.3008 0.6872 (multiplicity 4)
Ru 0.3611 0.0000 0.0685 (multiplicity 2)

The total energy comes out at -109.8 eV for the cell shown. Its calculated formation energy is -0.08 eV per atom. The crystal system is monoclinic. For the energy above the most stable polymorph in this dataset, the calculation gives 0.117 eV/atom.

# 5
Tb2DyAg4 | PBE | relaxed

Cell lengths 5.2939, 5.2939, 12.7588 Å; angles 90.00, 90.00, 90.00 degrees
Space group I4/mmm (No. 139)
Symmetry-distinct sites (fractional):
Tb 0.0000 0.0000 0.2251 (multiplicity 4)
Dy 0.0000 0.0000 0.5000 (multiplicity 2)
Ag 0.0000 0.5000 0.1193 (multiplicity 8)

The total energy comes out at -52.2 eV for the cell shown. Its calculated formation energy is -0.12 eV per atom. The crystal system is tetragonal.

# 6
Ba2La2As | PBE | relaxed

Cell lengths 8.1318, 8.1318, 6.4031 Å; angles 90.00, 90.00, 90.00 degrees
Space group P4/mbm (No. 127)
Symmetry-distinct sites (fractional):
Ba 0.1667 0.3333 0.0000 (multiplicity 4)
La 0.1588 0.6588 0.5000 (multiplicity 4)
As 0.0000 0.0000 0.5000 (multiplicity 2)

The total energy comes out at -39.4 eV for the cell shown. Its calculated formation energy is -0.27 eV per atom. The crystal system is tetragonal.

# 7
Sr3Cd11 | PBE | relaxed

Cell lengths 4.9481, 10.2307, 14.8303 Å; angles 90.00, 90.00, 90.00 degrees
Space group Immm (No. 71)
Symmetry-distinct sites (fractional):
Sr 0.0000 0.0000 0.0000 (multiplicity 2)
Sr 0.0000 0.0000 0.2976 (multiplicity 4)
Cd 0.0000 0.1897 0.5000 (multiplicity 4)
Cd 0.0000 0.2867 0.1352 (multiplicity 8)
Cd 0.0000 0.3592 0.3365 (multiplicity 8)
Cd 0.0000 0.5000 0.0000 (multiplicity 2)

The total energy comes out at -38.0 eV for the cell shown. Its calculated formation energy is -0.28 eV per atom. The crystal system is orthorhombic.

# 8
TbNdErTh2 | PBE | relaxed

Cell lengths 6.6760, 15.6774, 6.6816 Å; angles 90.00, 90.00, 90.00 degrees
Space group Cmcm (No. 63)
Symmetry-distinct sites (fractional):
Tb 0.0000 0.2415 0.2500 (multiplicity 4)
Nd 0.0000 0.3476 0.7500 (multiplicity 4)
Er 0.0000 0.1512 0.7500 (multiplicity 4)
Th 0.2471 0.0000 0.0000 (multiplicity 8)

The total energy comes out at -107.0 eV for the cell shown. Its calculated formation energy is 0.41 eV per atom. The crystal system is orthorhombic.